Here is a relaxed K4Mn crystal from Alexandria. Energies are from GGA-PBE.

a b c (Å): 6.9390 6.9390 6.9390
angles (deg): 90.00 90.00 90.00
With the nearest neighbours (Å) after each atom.
Space group Pm-3m (No. 221)
Inequivalent atoms, fractional coordinates:
K1 0.0000 0.0000 0.0000  12 K 4.91
K2 0.0000 0.5000 0.5000  2 Mn 3.47
Mn1 0.5000 0.5000 0.5000  6 K 3.47

Uncorrected energy: -2.137 eV/atom
Formation energy: 0.575 eV per atom